# V2CuAsF

A geometry-optimized V2CuAsF structure (PBE+U, the Alexandria database).

Lattice parameters (Å, degrees): 4.9469 4.9469 3.6984 90.00 90.00 90.00
Last column: nearest neighbours and their distance in Å.
Sites, in units of the cell vectors:
V1 0.0000 0.5000 0.0000  2 Cu 2.47
V2 0.5000 0.0000 0.0000  2 Cu 2.47
Cu1 0.0000 0.0000 0.0000  2 F 1.85
As1 0.5000 0.5000 0.5000  8 V 3.09
F1 0.0000 0.0000 0.5000  2 Cu 1.85

## Properties
Space-group type   P4/mmm
E_tot   -0.3412 Ry per atom
Magnetization   6.93 Bohr magnetons per cell